# 1
Below is crystalline Rb3Pu2AuS6 at its relaxed geometry, with properties calculated at the PBE level.

Values from the calculation:
Space-group type: No. 12
Density of states at the Fermi level, states/eV per cell: 13.2
ΔE_f (raw), eV per atom: -1.165
Raw total energy, eV/atom: -6.1327

The structure in POSCAR format:
```
Rb3Pu2AuS6
1.0
7.3441 -0.3115 0.0686
-3.9401 6.2055 0.0686
-1.0567 -1.8296 7.5119
Rb Pu Au S
3 2 1 6
direct
0.1477 0.8523 0.5000
0.8523 0.1477 0.5000
0.5000 0.5000 0.5000
0.3331 0.6669 0.0000
0.6669 0.3331 0.0000
0.0000 0.0000 0.0000
0.9414 0.5490 0.7927
0.7392 0.7392 0.1629
0.0586 0.4510 0.2073
0.5490 0.9414 0.7927
0.2608 0.2608 0.8371
0.4510 0.0586 0.2073
```

# 2
Below is crystalline SiRhBr2 at its relaxed geometry, with properties calculated at the PBE level.

Values from the calculation:
Space-group type: No. 47
Energy above the lowest structure with this stoichiometry, meV/atom: 741
Density of states at the Fermi level, states/eV per cell: 3.4
ΔE_f (raw), eV per atom: 0.552
Raw total energy, eV/atom: -3.4782

The structure in POSCAR format:
```
SiRhBr2
1.0
-0.6203 3.1570 -0.7123
-3.5499 0.3506 4.6450
3.2994 1.1969 2.4312
Br Rh Si
2 1 1
direct
0.0000 0.0000 0.0000
0.5000 0.5000 0.0000
0.5000 0.0000 0.5000
0.0000 0.5000 0.5000
```

# 3
Below is crystalline CoSb2TeH at its relaxed geometry, with properties calculated at the PBE level.

Values from the calculation:
Space-group type: No. 123
Energy above the lowest structure with this stoichiometry, meV/atom: 556
Density of states at the Fermi level, states/eV per cell: 5.1
Raw total energy, eV/atom: -3.6278

The structure in POSCAR format:
```
CoSb2TeH
1.0
4.8360 0.0000 0.0000
0.0000 4.8360 0.0000
0.0000 0.0000 5.1998
Sb Te Co H
2 1 1 1
direct
0.0000 0.5000 0.0000
0.5000 0.0000 0.0000
0.0000 0.0000 0.5000
0.0000 0.0000 0.0000
0.5000 0.5000 0.5000
```

# 4
Below is crystalline Cu2Ru at its relaxed geometry, with properties calculated at the PBE level.

Values from the calculation:
Space-group type: No. 227
Energy above the lowest structure with this stoichiometry, meV/atom: 151
ΔH_f (0 K), meV/atom: 290
Density of states at the Fermi level, states/eV per cell: 6.2
Raw total energy, eV/atom: -5.5328

The structure in POSCAR format:
```
Cu2Ru
1.0
0.0000 3.3577 3.3577
3.3577 0.0000 3.3577
3.3577 3.3577 0.0000
Cu Ru
4 2
direct
0.1250 0.6250 0.1250
0.1250 0.1250 0.6250
0.6250 0.1250 0.1250
0.1250 0.1250 0.1250
0.7500 0.7500 0.7500
0.5000 0.5000 0.5000
```